Crystalline Sb3SeF at its relaxed geometry, computed with PBE.

```
Sb3SeF
1.0
4.962 0.000 0.000
0.000 4.962 0.000
0.000 0.000 4.962
Sb Se F
3 1 1
Direct
0.000 0.000 0.500 Sb
0.000 0.500 0.000 Sb
0.500 0.000 0.000 Sb
0.500 0.500 0.500 Se
0.000 0.000 0.000 F
```

Values from the calculation:
Formation energy from raw total energies: 0.133 eV per atom

Crystalline Ba2BeGeAu6 at its relaxed geometry, computed with PBE.

```
Ba2BeGeAu6
1.0
4.948 -4.944 0.000
4.948 4.944 0.000
-4.908 0.000 4.956
Ba Be Ge Au
2 1 1 6
Direct
0.250 0.750 0.000 Ba
0.750 0.250 0.000 Ba
0.000 0.000 0.500 Be
0.500 0.500 0.500 Ge
0.234 0.234 0.500 Au
0.235 0.235 0.969 Au
0.235 0.765 0.500 Au
0.765 0.235 0.500 Au
0.765 0.765 0.031 Au
0.766 0.766 0.500 Au
```

Values from the calculation:
VASP energy: -3.66 eV/atom

Crystalline Os2RhBr at its relaxed geometry, computed with PBE.

```
Os2RhBr
1.0
4.633 0.000 0.000
0.000 4.633 0.000
0.000 0.000 2.868
Os Rh Br
2 1 1
Direct
0.000 0.500 0.000 Os
0.500 0.000 0.000 Os
0.000 0.000 0.500 Rh
0.500 0.500 0.500 Br
```

Values from the calculation:
Formation energy from raw total energies: 1.298 eV per atom

Crystalline Ca2ScSn3Pd4 at its relaxed geometry, computed with PBE.

```
Ca2ScSn3Pd4
1.0
4.380 0.000 0.000
0.000 4.380 0.000
0.000 0.000 11.698
Ca Sc Sn Pd
2 1 3 4
Direct
0.000 0.500 0.241 Ca
0.500 0.000 0.759 Ca
0.000 0.000 0.500 Sc
0.000 0.500 0.868 Sn
0.500 0.000 0.132 Sn
0.500 0.500 0.500 Sn
0.000 0.000 0.000 Pd
0.000 0.500 0.643 Pd
0.500 0.000 0.357 Pd
0.500 0.500 0.000 Pd
```

Values from the calculation:
VASP energy: -5.05 eV/atom

Number 1: magnetization 0.00 μB per cell. Number 2: magnetization 0.00 μB per cell. Number 3: magnetization 0.00 μB per cell. Number 4: magnetization 0.00 μB per cell.